Material: Hg2PIr
Method: DFT, PBE
State: relaxed

Cell lengths 4.188, 4.188, 8.302 Å; angles 90.00, 90.00, 90.00 degrees
Space group I-4m2 (No. 119)
Unique sites:
Hg: 0.000 0.000 0.000
Hg: 0.000 0.500 0.250
P: 0.000 0.000 0.500
Ir: 0.000 0.500 0.750

Raw total energy in eV per atom: -3.061
Size of the total moment in μB per formula unit: 0.00